First-principles (PBE-GGA) data for a relaxed structure of SrSn3Ir3, as listed in the Alexandria database.

a = 7.1861 Å, b = 7.1861 Å, c = 8.4470 Å
α = 64.83°, β = 64.83°, γ = 60.00°
Sites, in units of the cell vectors:
Sn: 0.4497 0.2839 0.3571
Sn: 0.9093 0.4497 0.3571
Sn: 0.7161 0.0907 0.6429
Sn: 0.2839 0.9093 0.3571
Sn: 0.0907 0.5503 0.6429
Sn: 0.5503 0.7161 0.6429
Ir: 0.3085 0.1065 0.7215
Ir: 0.6915 0.8935 0.2785
Ir: 0.1364 0.6915 0.2785
Ir: 0.8935 0.1364 0.2785
Ir: 0.8636 0.3085 0.7215
Ir: 0.1065 0.8636 0.7215
Sr: 0.6594 0.6594 0.0218
Sr: 0.3406 0.3406 0.9782

Output
Space group: No. 148
Mass density (Mg/m³): 10.3
Formation enthalpy at 0 K (eV per formula unit): -1.2